A plane-wave DFT calculation with PBE-GGA was carried out for TlIr2W after structural relaxation.

Formation energy from the elements (meV/atom): 422

POSCAR file:
```
TlIr2W
1.0
4.096 0.000 0.000
0.000 4.096 0.000
0.000 0.000 7.865
Tl Ir W
2 4 2
Cartesian
0.000 0.000 0.000
2.048 2.048 3.932
0.000 2.048 1.966
0.000 2.048 5.898
2.048 0.000 1.966
2.048 0.000 5.898
0.000 0.000 3.932
2.048 2.048 0.000
```